Below is crystalline CsTe2Pt2 at its relaxed geometry, with properties calculated at the PBE level.

Summary:
- energy above the most stable polymorph in this dataset (meV per atom) = 0
- total magnetization (μB per formula unit) = 0.00
- final energy (eV/f.u.) = -21.6
- uncorrected formation energy (eV/atom) = -0.478

The structure in CIF format:
```
data_CsTe2Pt2
_chemical_formula_sum 'Cs2 Te4 Pt4'
_cell_length_a 7.0508
_cell_length_b 7.3105
_cell_length_c 7.9918
_cell_angle_alpha 65.25
_cell_angle_beta 89.77
_cell_angle_gamma 61.20
_space_group_name_H-M_alt 'P -1'
_space_group_IT_number 2
loop_
_space_group_symop_operation_xyz
'x,y,z'
'-x,-y,-z'
loop_
_atom_site_label
_atom_site_fract_x
_atom_site_fract_y
_atom_site_fract_z
_atom_site_occupancy
Cs1 0.1869 0.1280 0.2881 1
Te1 0.1523 0.1919 0.7920 1
Te2 0.4939 0.5135 0.2760 1
Pt1 0.2024 0.5001 0.5004 1
Pt2 0.3785 0.7421 0.9016 1
```